# TmNiPtO4 | the Alexandria database | PBE+U | optimized geometry
data_TmNiPtO4
_symmetry_space_group_name_H-M 'I m m a'
_symmetry_Int_Tables_number 74
_symmetry_space_group_name_Hall '-I 2b 2'
_cell_length_a 6.546
_cell_length_b 7.012
_cell_length_c 7.586
_cell_angle_alpha 90.00
_cell_angle_beta 90.00
_cell_angle_gamma 90.00
loop_
_atom_site_label
_atom_site_type_symbol
_atom_site_fract_x
_atom_site_fract_y
_atom_site_fract_z
_atom_site_occupancy
Tm1 Tm 0.250 0.250 0.250 1
Ni1 Ni 0.000 0.250 0.692 1
Pt1 Pt 0.000 0.000 0.000 1
O1 O 0.000 0.035 0.269 1
O2 O 0.204 0.250 0.952 1
# - final energy (eV/atom) = -6.263